(1)
# CaPrNd4 (PBE, optimized geometry)
# Energy (eV/atom): -4.113
# Energy relative to the lowest polymorph listed for this composition (eV per formula unit): 0.939
# ΔE_f (eV/f.u.): 1.18
data_CaPrNd4
_symmetry_space_group_name_H-M 'F -4 3 m'
_symmetry_Int_Tables_number 216
_symmetry_space_group_name_Hall 'F -4 2 3'
_cell_length_a 9.696
_cell_length_b 9.696
_cell_length_c 9.696
_cell_angle_alpha 90.00
_cell_angle_beta 90.00
_cell_angle_gamma 90.00
loop_
_atom_site_label
_atom_site_type_symbol
_atom_site_fract_x
_atom_site_fract_y
_atom_site_fract_z
Ca1 Ca 0.000 0.000 0.000
Pr1 Pr 0.250 0.250 0.750
Nd1 Nd 0.124 0.124 0.376

***

(2)
# ErFeCo2 (PBE, optimized geometry)
# Energy (eV/atom): -6.801
# Energy relative to the lowest polymorph listed for this composition (eV per formula unit): 0.000
# ΔE_f (eV/f.u.): 0.03
data_ErFeCo2
_symmetry_space_group_name_H-M 'P 4/m m m'
_symmetry_Int_Tables_number 123
_symmetry_space_group_name_Hall '-P 4 2'
_cell_length_a 3.073
_cell_length_b 3.073
_cell_length_c 6.241
_cell_angle_alpha 90.00
_cell_angle_beta 90.00
_cell_angle_gamma 90.00
loop_
_atom_site_label
_atom_site_type_symbol
_atom_site_fract_x
_atom_site_fract_y
_atom_site_fract_z
Er1 Er 0.000 0.000 0.000
Fe1 Fe 0.000 0.000 0.500
Co1 Co 0.500 0.500 0.293

***

(3)
# Rb2BSe2 (PBE, optimized geometry)
# Energy (eV/atom): -3.506
# Energy relative to the lowest polymorph listed for this composition (eV per formula unit): 0.248
# Formation energy without anion corrections (meV per atom): -390
data_Rb2BSe2
_symmetry_space_group_name_H-M 'I 4/m m m'
_symmetry_Int_Tables_number 139
_symmetry_space_group_name_Hall '-I 4 2'
_cell_length_a 6.988
_cell_length_b 6.988
_cell_length_c 10.027
_cell_angle_alpha 90.00
_cell_angle_beta 90.00
_cell_angle_gamma 90.00
loop_
_atom_site_label
_atom_site_type_symbol
_atom_site_fract_x
_atom_site_fract_y
_atom_site_fract_z
Rb1 Rb 0.000 0.500 0.250
B1 B 0.000 0.000 0.000
Se1 Se 0.000 0.000 0.185